(1)
Computed, not measured: RbLi2CuF8 after structural relaxation at the GGA-PBE level of DFT.

Calculated values
Its energy relative to the elements, uncorrected is -1.915 eV per atom.

```
data_RbLi2CuF8
_space_group_name_H-M_alt 'P 1'
_space_group_IT_number 1
_cell_length_a 4.808
_cell_length_b 4.707
_cell_length_c 7.688
_cell_angle_alpha 83.42
_cell_angle_beta 90.85
_cell_angle_gamma 93.96
loop_
_space_group_symop_operation_xyz
'x,y,z'
loop_
_atom_site_label
_atom_site_type_symbol
_atom_site_fract_x
_atom_site_fract_y
_atom_site_fract_z
_atom_site_occupancy
F1 F 0.523 0.365 0.414 1
F2 F 0.694 0.721 0.995 1
F3 F 0.820 0.173 0.157 1
F4 F 0.306 0.279 0.005 1
F5 F 0.159 0.776 0.191 1
F6 F 0.180 0.827 0.843 1
F7 F 0.841 0.224 0.809 1
F8 F 0.477 0.635 0.586 1
Cu1 Cu 0.000 0.000 0.000 1
Rb1 Rb 0.000 0.000 0.500 1
Li1 Li 0.454 0.527 0.175 1
Li2 Li 0.546 0.473 0.825 1
```

***

(2)
Computed, not measured: LiPmCd4Ag2 after structural relaxation at the GGA-PBE level of DFT.

Calculated values
The energy of formation is -0.206 eV per atom.

```
data_LiPmCd4Ag2
_space_group_name_H-M_alt 'P 1'
_space_group_IT_number 1
_cell_length_a 4.926
_cell_length_b 4.926
_cell_length_c 8.607
_cell_angle_alpha 73.37
_cell_angle_beta 73.37
_cell_angle_gamma 60.00
loop_
_space_group_symop_operation_xyz
'x,y,z'
loop_
_atom_site_label
_atom_site_type_symbol
_atom_site_fract_x
_atom_site_fract_y
_atom_site_fract_z
_atom_site_occupancy
Cd1 Cd 0.868 0.868 0.396 1
Cd2 Cd 0.612 0.612 0.163 1
Cd3 Cd 0.132 0.132 0.604 1
Cd4 Cd 0.388 0.388 0.837 1
Li1 Li 0.500 0.500 0.500 1
Ag1 Ag 0.253 0.253 0.241 1
Ag2 Ag 0.747 0.747 0.759 1
Pm1 Pm 0.000 0.000 0.000 1
```

***

Calculated total energy for the records above, in order: -3.90 -2.21 eV/atom